--- a ---
A relaxed structure of Sr2YZn2, computed with GGA-PBE.

Properties
**Symmetry**: No. 127

Cell lengths 7.7055, 7.7055, 5.2853 Å; angles 90.00, 90.00, 90.00 degrees
Atoms (fractional coordinates):
Sr 0.1772 0.3228 0.0000
Sr 0.3228 0.8228 0.0000
Sr 0.6772 0.1772 0.0000
Sr 0.8228 0.6772 0.0000
Y 0.0000 0.0000 0.5000
Y 0.5000 0.5000 0.5000
Zn 0.1189 0.6189 0.5000
Zn 0.3811 0.1189 0.5000
Zn 0.6189 0.8811 0.5000
Zn 0.8811 0.3811 0.5000

---

--- b ---
A relaxed structure of Sr2YZn2, computed with GGA-PBE.

Properties
**Symmetry**: No. 139

Cell lengths 7.3683, 7.3683, 7.3683 Å; angles 140.56, 140.56, 57.01 degrees
Atoms (fractional coordinates):
Sr 0.2500 0.7500 0.5000
Sr 0.7500 0.2500 0.5000
Y 0.0000 0.0000 0.0000
Zn 0.4084 0.4084 0.0000
Zn 0.5916 0.5916 0.0000

---

--- c ---
A relaxed structure of Sr2YZn2, computed with GGA-PBE.

Properties
**Symmetry**: No. 127

Cell lengths 9.1160, 9.1160, 3.5782 Å; angles 90.00, 90.00, 90.00 degrees
Atoms (fractional coordinates):
Sr 0.1369 0.3631 0.0000
Sr 0.3631 0.8631 0.0000
Sr 0.6369 0.1369 0.0000
Sr 0.8631 0.6369 0.0000
Y 0.0000 0.0000 0.0000
Y 0.5000 0.5000 0.0000
Zn 0.1619 0.6619 0.5000
Zn 0.3381 0.1619 0.5000
Zn 0.6619 0.8381 0.5000
Zn 0.8381 0.3381 0.5000

---

Short version: a, c, b, most stable first.

---

--- a ---
A relaxed structure of SrYZn4, computed with GGA-PBE.

Properties
**Symmetry**: No. 216

Cell lengths 5.6198, 5.6198, 5.6198 Å; angles 60.00, 60.00, 60.00 degrees
Atoms (fractional coordinates):
Sr 0.0000 0.0000 0.0000
Y 0.7500 0.7500 0.7500
Zn 0.3765 0.3765 0.3765
Zn 0.3765 0.3765 0.8706
Zn 0.3765 0.8706 0.3765
Zn 0.8706 0.3765 0.3765

---

--- b ---
A relaxed structure of SrYZn4, computed with GGA-PBE.

Properties
**Symmetry**: No. 47

Cell lengths 3.7258, 4.5036, 8.0309 Å; angles 90.00, 90.00, 90.00 degrees
Atoms (fractional coordinates):
Sr 0.0000 0.0000 0.0000
Y 0.0000 0.5000 0.5000
Zn 0.5000 0.0000 0.3432
Zn 0.5000 0.0000 0.6568
Zn 0.5000 0.5000 0.1779
Zn 0.5000 0.5000 0.8221

---

Short version: b, a, most stable first.